1.
The following is a PBE-GGA calculation of a relaxed structure of Ba2NiRh, from Alexandria via LeMat-Bulk.

```
Ba2NiRh
1.0
4.405 0.000 0.000
0.000 4.405 0.000
0.000 0.000 6.261
Ba Ni Rh
2 1 1
direct
0.000 0.000 0.000
0.500 0.500 0.494
0.000 0.000 0.504
0.500 0.500 0.992
```

***

2.
The following is a PBE-GGA calculation of a relaxed structure of BaNi2Rh, from Alexandria via LeMat-Bulk.

```
BaNi2Rh
1.0
3.179 0.000 0.000
0.000 3.179 0.000
0.000 0.000 7.219
Ba Ni Rh
1 2 1
direct
0.000 0.000 0.000
0.000 0.000 0.483
0.500 0.500 0.326
0.500 0.500 0.668
```

***

| no. | raw total energy (eV/atom) | calculated formation energy (eV per atom) | total magnetization (μB per formula unit) |
| --- | --- | --- | --- |
| 1 | -3.9099 | 0.33 | 0.2 |
| 2 | -4.8218 | 0.39 | 1.4 |